BaPrSb2: optimized geometry, PBE.

Values from the calculation:
The energy relative to the lowest polymorph listed for this composition is 0.18 eV per formula unit. The value obtained for the energy is -4.66 eV per atom. The calculation puts the size of the total moment at 0.000 μB per atom. The theoretical density is 5.6 g/cm3. The formation energy (no corrections) comes out at -0.92 eV/atom. As for the symmetry: No. 160.

Lattice parameters (Å, degrees): 4.609 4.609 8.845 74.90 74.90 60.00
Atoms (fractional coordinates):
Sb 0.074 0.074 0.779
Sb 0.260 0.260 0.220
Ba 0.497 0.497 0.508
Pr 0.669 0.669 0.993